1.
The following is a DFT calculation (PBE) of crystalline ScSi3O at its relaxed geometry.

a = 5.0605 Å, b = 5.0605 Å, c = 5.0605 Å
α = 90.00°, β = 90.00°, γ = 90.00°
With the nearest neighbours (Å) after each atom.
Atoms (fractional coordinates):
Sc 0.0000 0.0000 0.0000  6 Si 2.53
Si 0.0000 0.0000 0.5000  2 Sc 2.53
Si 0.0000 0.5000 0.0000  2 Sc 2.53
Si 0.5000 0.0000 0.0000  2 Sc 2.53
O 0.5000 0.5000 0.5000  12 Si 3.58

Summary:
N(E_F) = 5.58 states/eV/cell
Uncorrected formation energy = 1.40 eV/atom
Raw total energy = -4.1072 eV per atom
Space group = Pm-3m (221)

***

2.
The following is a DFT calculation (PBE) of crystalline ScSi3O at its relaxed geometry.

a = 4.1686 Å, b = 4.1686 Å, c = 4.1686 Å
α = 90.00°, β = 90.00°, γ = 90.00°
With the nearest neighbours (Å) after each atom.
Atoms (fractional coordinates):
Sc 0.0000 0.0000 0.0000  12 Si 2.95
Si 0.0000 0.5000 0.5000  2 O 2.08
Si 0.5000 0.0000 0.5000  2 O 2.08
Si 0.5000 0.5000 0.0000  2 O 2.08
O 0.5000 0.5000 0.5000  6 Si 2.08

Summary:
N(E_F) = 1.86 states/eV/cell
Uncorrected formation energy = -0.29 eV/atom
Raw total energy = -5.8029 eV per atom
Space group = Pm-3m (221)

***

3.
The following is a DFT calculation (PBE) of crystalline ScSiO3 at its relaxed geometry.

a = 9.8353 Å, b = 9.8353 Å, c = 2.8898 Å
α = 90.00°, β = 90.00°, γ = 146.97°
With the nearest neighbours (Å) after each atom.
Atoms (fractional coordinates):
Sc 0.2178 0.7822 0.7500  6 O 2.19-2.34
Sc 0.7822 0.2178 0.2500  6 O 2.19-2.34
Si 0.3738 0.6262 0.7500  4 O 1.65-1.67
Si 0.6262 0.3738 0.2500  4 O 1.65-1.67
O 0.0859 0.4445 0.7500  1 Si 1.65
O 0.4186 0.5814 0.2500  2 Si 1.67
O 0.4445 0.0859 0.2500  1 Si 1.65
O 0.5555 0.9141 0.7500  1 Si 1.65
O 0.5814 0.4186 0.7500  2 Si 1.67
O 0.9141 0.5555 0.2500  1 Si 1.65

Summary:
N(E_F) = 2.24 states/eV/cell
Uncorrected formation energy = -2.70 eV/atom
Raw total energy = -8.0222 eV per atom
Space group = Cmcm (63)

***

4.
The following is a DFT calculation (PBE) of crystalline Sc2SiO at its relaxed geometry.

a = 4.1592 Å, b = 4.1592 Å, c = 19.3737 Å
α = 90.00°, β = 90.00°, γ = 120.00°
With the nearest neighbours (Å) after each atom.
Atoms (fractional coordinates):
Sc 0.0000 0.0000 0.0973  1 O 1.88
Sc 0.0000 0.0000 0.9027  1 O 1.88
Sc 0.3333 0.6667 0.5694  1 O 1.88
Sc 0.3333 0.6667 0.7639  1 O 1.88
Sc 0.6667 0.3333 0.2361  1 O 1.88
Sc 0.6667 0.3333 0.4306  1 O 1.88
Si 0.0000 0.0000 0.5000  6 Sc 2.75
Si 0.3333 0.6667 0.1667  6 Sc 2.75
Si 0.6667 0.3333 0.8333  6 Sc 2.75
O 0.0000 0.0000 0.0000  2 Sc 1.88
O 0.3333 0.6667 0.6667  2 Sc 1.88
O 0.6667 0.3333 0.3333  2 Sc 1.88

Summary:
N(E_F) = 0.00 states/eV/cell
Uncorrected formation energy = -1.45 eV/atom
Raw total energy = -7.2157 eV per atom
Space group = R-3m (166)